No. 1
The following is a PBE calculation of a relaxed NaCoPb3 crystal, from Alexandria via LeMat-Bulk.

Cell and atoms, written as CIF:
```
data_NaCoPb3
_cell_length_a 5.439
_cell_length_b 5.439
_cell_length_c 5.439
_cell_angle_alpha 90.00
_cell_angle_beta 90.00
_cell_angle_gamma 90.00
_space_group_name_H-M_alt 'P m -3 m'
_space_group_IT_number 221
_space_group_name_Hall '-P 4 2 3'
loop_
_atom_site_label
_atom_site_fract_x
_atom_site_fract_y
_atom_site_fract_z
_atom_site_occupancy
Na1 0.000 0.000 0.000 1
Co1 0.500 0.500 0.500 1
Pb1 0.000 0.000 0.500 1
```

E_form in meV/atom: 1162
Polymorph energy (0 for the lowest one) in kJ/mol of atoms: 96.46



No. 2
The following is a PBE calculation of a relaxed Na2CoRhPb crystal, from Alexandria via LeMat-Bulk.

Cell and atoms, written as CIF:
```
data_Na2CoRhPb
_cell_length_a 5.243
_cell_length_b 5.243
_cell_length_c 5.164
_cell_angle_alpha 90.00
_cell_angle_beta 90.00
_cell_angle_gamma 90.00
_space_group_name_H-M_alt 'P 4/m m m'
_space_group_IT_number 123
_space_group_name_Hall '-P 4 2'
loop_
_atom_site_label
_atom_site_fract_x
_atom_site_fract_y
_atom_site_fract_z
_atom_site_occupancy
Na1 0.000 0.500 0.000 1
Co1 0.000 0.000 0.500 1
Rh1 0.500 0.500 0.000 1
Pb1 0.500 0.500 0.500 1
```

E_form in meV/atom: 866



No. 3
The following is a PBE calculation of a relaxed NaCoRhPb2 crystal, from Alexandria via LeMat-Bulk.

Cell and atoms, written as CIF:
```
data_NaCoRhPb2
_cell_length_a 5.302
_cell_length_b 5.302
_cell_length_c 4.629
_cell_angle_alpha 90.00
_cell_angle_beta 90.00
_cell_angle_gamma 90.00
_space_group_name_H-M_alt 'P 4/m m m'
_space_group_IT_number 123
_space_group_name_Hall '-P 4 2'
loop_
_atom_site_label
_atom_site_fract_x
_atom_site_fract_y
_atom_site_fract_z
_atom_site_occupancy
Na1 0.000 0.000 0.000 1
Co1 0.500 0.500 0.500 1
Rh1 0.000 0.000 0.500 1
Pb1 0.000 0.500 0.000 1
```

E_form in meV/atom: 1404



No. 4
The following is a PBE calculation of a relaxed Na2SrCoPb crystal, from Alexandria via LeMat-Bulk.

Cell and atoms, written as CIF:
```
data_Na2SrCoPb
_cell_length_a 5.374
_cell_length_b 5.374
_cell_length_c 5.082
_cell_angle_alpha 90.00
_cell_angle_beta 90.00
_cell_angle_gamma 90.00
_space_group_name_H-M_alt 'P 4/m m m'
_space_group_IT_number 123
_space_group_name_Hall '-P 4 2'
loop_
_atom_site_label
_atom_site_fract_x
_atom_site_fract_y
_atom_site_fract_z
_atom_site_occupancy
Na1 0.000 0.500 0.000 1
Sr1 0.000 0.000 0.500 1
Co1 0.500 0.500 0.000 1
Pb1 0.500 0.500 0.500 1
```

E_form in meV/atom: 228



No. 5
The following is a PBE calculation of a relaxed NaZnCo2Pb crystal, from Alexandria via LeMat-Bulk.

Cell and atoms, written as CIF:
```
data_NaZnCo2Pb
_cell_length_a 4.656
_cell_length_b 4.656
_cell_length_c 4.733
_cell_angle_alpha 90.00
_cell_angle_beta 90.00
_cell_angle_gamma 90.00
_space_group_name_H-M_alt 'P 4/m m m'
_space_group_IT_number 123
_space_group_name_Hall '-P 4 2'
loop_
_atom_site_label
_atom_site_fract_x
_atom_site_fract_y
_atom_site_fract_z
_atom_site_occupancy
Na1 0.000 0.000 0.000 1
Zn1 0.000 0.000 0.500 1
Co1 0.000 0.500 0.000 1
Pb1 0.500 0.500 0.500 1
```

E_form in meV/atom: 1406



No. 6
The following is a PBE calculation of a relaxed NaCoPd3 crystal, from Alexandria via LeMat-Bulk.

Cell and atoms, written as CIF:
```
data_NaCoPd3
_cell_length_a 4.658
_cell_length_b 4.658
_cell_length_c 4.658
_cell_angle_alpha 90.00
_cell_angle_beta 90.00
_cell_angle_gamma 90.00
_space_group_name_H-M_alt 'P m -3 m'
_space_group_IT_number 221
_space_group_name_Hall '-P 4 2 3'
loop_
_atom_site_label
_atom_site_fract_x
_atom_site_fract_y
_atom_site_fract_z
_atom_site_occupancy
Na1 0.000 0.000 0.000 1
Co1 0.500 0.500 0.500 1
Pd1 0.000 0.500 0.500 1
```

E_form in meV/atom: 462
Polymorph energy (0 for the lowest one) in kJ/mol of atoms: 0.00



No. 7
The following is a PBE calculation of a relaxed NaCoPd2 crystal, from Alexandria via LeMat-Bulk.

Cell and atoms, written as CIF:
```
data_NaCoPd2
_cell_length_a 6.242
_cell_length_b 6.242
_cell_length_c 6.242
_cell_angle_alpha 90.00
_cell_angle_beta 90.00
_cell_angle_gamma 90.00
_space_group_name_H-M_alt 'F m -3 m'
_space_group_IT_number 225
_space_group_name_Hall '-F 4 2 3'
loop_
_atom_site_label
_atom_site_fract_x
_atom_site_fract_y
_atom_site_fract_z
_atom_site_occupancy
Na1 0.000 0.000 0.000 1
Co1 0.000 0.000 0.500 1
Pd1 0.250 0.250 0.250 1
```

E_form in meV/atom: 228
Polymorph energy (0 for the lowest one) in kJ/mol of atoms: 0.00



No. 8
The following is a PBE calculation of a relaxed NaCo2Pd crystal, from Alexandria via LeMat-Bulk.

Cell and atoms, written as CIF:
```
data_NaCo2Pd
_cell_length_a 6.126
_cell_length_b 6.126
_cell_length_c 6.126
_cell_angle_alpha 90.00
_cell_angle_beta 90.00
_cell_angle_gamma 90.00
_space_group_name_H-M_alt 'F m -3 m'
_space_group_IT_number 225
_space_group_name_Hall '-F 4 2 3'
loop_
_atom_site_label
_atom_site_fract_x
_atom_site_fract_y
_atom_site_fract_z
_atom_site_occupancy
Na1 0.000 0.000 0.000 1
Co1 0.250 0.250 0.250 1
Pd1 0.000 0.000 0.500 1
```

E_form in meV/atom: 607
Polymorph energy (0 for the lowest one) in kJ/mol of atoms: 0.00



No. 9
The following is a PBE calculation of a relaxed NaCoPd2 crystal, from Alexandria via LeMat-Bulk.

Cell and atoms, written as CIF:
```
data_NaCoPd2
_cell_length_a 3.955
_cell_length_b 3.955
_cell_length_c 17.620
_cell_angle_alpha 90.00
_cell_angle_beta 90.00
_cell_angle_gamma 90.00
_space_group_name_H-M_alt 'I -4 2 d'
_space_group_IT_number 122
_space_group_name_Hall 'I -4 2bw'
loop_
_atom_site_label
_atom_site_fract_x
_atom_site_fract_y
_atom_site_fract_z
_atom_site_occupancy
Na1 0.000 0.000 0.000 1
Co1 0.000 0.000 0.500 1
Pd1 0.231 0.250 0.625 1
```

E_form in meV/atom: 546
Polymorph energy (0 for the lowest one) in kJ/mol of atoms: 30.71



No. 10
The following is a PBE calculation of a relaxed NaCo2Pd crystal, from Alexandria via LeMat-Bulk.

Cell and atoms, written as CIF:
```
data_NaCo2Pd
_cell_length_a 3.737
_cell_length_b 3.737
_cell_length_c 18.819
_cell_angle_alpha 90.00
_cell_angle_beta 90.00
_cell_angle_gamma 90.00
_space_group_name_H-M_alt 'I -4 2 d'
_space_group_IT_number 122
_space_group_name_Hall 'I -4 2bw'
loop_
_atom_site_label
_atom_site_fract_x
_atom_site_fract_y
_atom_site_fract_z
_atom_site_occupancy
Na1 0.000 0.000 0.000 1
Co1 0.170 0.750 0.625 1
Pd1 0.000 0.000 0.500 1
```

E_form in meV/atom: 692
Polymorph energy (0 for the lowest one) in kJ/mol of atoms: 8.22



No. 11
The following is a PBE calculation of a relaxed NaCoPd3 crystal, from Alexandria via LeMat-Bulk.

Cell and atoms, written as CIF:
```
data_NaCoPd3
_cell_length_a 4.562
_cell_length_b 4.562
_cell_length_c 4.562
_cell_angle_alpha 90.00
_cell_angle_beta 90.00
_cell_angle_gamma 90.00
_space_group_name_H-M_alt 'P m -3 m'
_space_group_IT_number 221
_space_group_name_Hall '-P 4 2 3'
loop_
_atom_site_label
_atom_site_fract_x
_atom_site_fract_y
_atom_site_fract_z
_atom_site_occupancy
Na1 0.000 0.000 0.000 1
Co1 0.500 0.500 0.500 1
Pd1 0.000 0.000 0.500 1
```

E_form in meV/atom: 1336
Polymorph energy (0 for the lowest one) in kJ/mol of atoms: 84.34



No. 12
The following is a PBE calculation of a relaxed NaCoPd2Se crystal, from Alexandria via LeMat-Bulk.

Cell and atoms, written as CIF:
```
data_NaCoPd2Se
_cell_length_a 4.801
_cell_length_b 4.801
_cell_length_c 4.413
_cell_angle_alpha 90.00
_cell_angle_beta 90.00
_cell_angle_gamma 90.00
_space_group_name_H-M_alt 'P 4/m m m'
_space_group_IT_number 123
_space_group_name_Hall '-P 4 2'
loop_
_atom_site_label
_atom_site_fract_x
_atom_site_fract_y
_atom_site_fract_z
_atom_site_occupancy
Na1 0.000 0.000 0.000 1
Co1 0.500 0.500 0.000 1
Pd1 0.000 0.500 0.500 1
Se1 0.500 0.500 0.500 1
```

Uncorrected formation energy in eV/atom: 0.08